Record 1
DFT (PBE) results for an optimized crystal structure of Ba2TlSiRh.

Cell and atoms, written as POSCAR:
```
Ba2TlSiRh
1.0
6.1272 0.0000 0.0000
0.0000 6.1272 0.0000
0.0000 0.0000 4.6125
Ba Tl Si Rh
2 1 1 1
Direct
0.0000 0.5000 0.0000 Ba
0.5000 0.0000 0.0000 Ba
0.0000 0.0000 0.5000 Tl
0.5000 0.5000 0.5000 Si
0.5000 0.5000 0.0000 Rh
```

Uncorrected energy ... -4.094 eV per atom

Record 2
DFT (PBE) results for an optimized crystal structure of GePH.

Cell and atoms, written as POSCAR:
```
GePH
1.0
-1.8342 1.8342 3.0606
1.8342 -1.8342 3.0606
1.8342 1.8342 -3.0606
Ge P H
1 1 1
Direct
0.0000 0.0000 0.0000 Ge
0.5544 0.5544 0.0000 P
0.2969 0.2969 0.0000 H
```

Uncorrected energy ... -4.193 eV per atom

Record 3
DFT (PBE) results for an optimized crystal structure of BaHoPb2.

Cell and atoms, written as POSCAR:
```
BaHoPb2
1.0
4.1460 0.0000 0.0000
0.0000 4.1460 0.0000
0.0000 0.0000 7.8065
Ba Ho Pb
1 1 2
Direct
0.0000 0.0000 0.0000 Ba
0.0000 0.0000 0.5000 Ho
0.5000 0.5000 0.2949 Pb
0.5000 0.5000 0.7051 Pb
```

Formation enthalpy at 0 K ... -45.0 kJ/mol of atoms